# 1
Here is a relaxed structure of Bi2AsH from the Alexandria database. Energies are from PBE.

```
data_Bi2AsH
_chemical_formula_sum 'Bi2 As1 H1'
_cell_length_a 5.0253
_cell_length_b 5.0253
_cell_length_c 5.0253
_cell_angle_alpha 60.00
_cell_angle_beta 60.00
_cell_angle_gamma 60.00
_space_group_name_H-M_alt 'P 1'
_space_group_IT_number 1
_space_group_name_Hall 'P 1'
loop_
_atom_site_label
_atom_site_type_symbol
_atom_site_fract_x
_atom_site_fract_y
_atom_site_fract_z
_atom_site_occupancy
Bi1 Bi 0.2500 0.2500 0.2500 1
Bi2 Bi 0.7500 0.7500 0.7500 1
As1 As 0.0000 0.0000 0.0000 1
H1 H 0.5000 0.5000 0.5000 1
```

Values from the calculation:
- Relative energy among the computed polymorphs: 31 kJ/mol of formula units
- Symmetry: No. 225
- Total DFT energy (no corrections): -3.4779 eV per atom
- DOS(E_F): 0.425 states/eV/atom

---

# 2
Here is a relaxed structure of In2BiAsH from the Alexandria database. Energies are from PBE.

```
data_In2BiAsH
_chemical_formula_sum 'In2 Bi1 As1 H1'
_cell_length_a 5.7902
_cell_length_b 5.7902
_cell_length_c 3.4479
_cell_angle_alpha 90.00
_cell_angle_beta 90.00
_cell_angle_gamma 90.00
_space_group_name_H-M_alt 'P 1'
_space_group_IT_number 1
_space_group_name_Hall 'P 1'
loop_
_atom_site_label
_atom_site_type_symbol
_atom_site_fract_x
_atom_site_fract_y
_atom_site_fract_z
_atom_site_occupancy
In1 In 0.0000 0.5000 0.0000 1
In2 In 0.5000 0.0000 0.0000 1
Bi1 Bi 0.0000 0.0000 0.5000 1
As1 As 0.5000 0.5000 0.0000 1
H1 H 0.5000 0.5000 0.5000 1
```

Values from the calculation:
- Symmetry: No. 123
- Total DFT energy (no corrections): -3.3584 eV per atom
- DOS(E_F): 0.322 states/eV/atom

---

# 3
Here is a relaxed structure of Li2BiAsH from the Alexandria database. Energies are from PBE.

```
data_Li2BiAsH
_chemical_formula_sum 'Li2 Bi1 As1 H1'
_cell_length_a 4.4361
_cell_length_b 4.4361
_cell_length_c 4.4859
_cell_angle_alpha 90.00
_cell_angle_beta 90.00
_cell_angle_gamma 90.00
_space_group_name_H-M_alt 'P 1'
_space_group_IT_number 1
_space_group_name_Hall 'P 1'
loop_
_atom_site_label
_atom_site_type_symbol
_atom_site_fract_x
_atom_site_fract_y
_atom_site_fract_z
_atom_site_occupancy
Li1 Li 0.0000 0.5000 0.0000 1
Li2 Li 0.5000 0.0000 0.0000 1
Bi1 Bi 0.0000 0.0000 0.5000 1
As1 As 0.5000 0.5000 0.5000 1
H1 H 0.0000 0.0000 0.0000 1
```

Values from the calculation:
- Relative energy among the computed polymorphs: 8 kJ/mol of formula units
- Symmetry: No. 123
- Total DFT energy (no corrections): -3.3142 eV per atom
- DOS(E_F): 0.279 states/eV/atom

---

# 4
Here is a relaxed structure of Li2BiAsH from the Alexandria database. Energies are from PBE.

```
data_Li2BiAsH
_chemical_formula_sum 'Li2 Bi1 As1 H1'
_cell_length_a 4.5820
_cell_length_b 4.5820
_cell_length_c 4.0305
_cell_angle_alpha 90.00
_cell_angle_beta 90.00
_cell_angle_gamma 90.00
_space_group_name_H-M_alt 'P 1'
_space_group_IT_number 1
_space_group_name_Hall 'P 1'
loop_
_atom_site_label
_atom_site_type_symbol
_atom_site_fract_x
_atom_site_fract_y
_atom_site_fract_z
_atom_site_occupancy
Li1 Li 0.0000 0.5000 0.0000 1
Li2 Li 0.5000 0.0000 0.0000 1
Bi1 Bi 0.0000 0.0000 0.5000 1
As1 As 0.5000 0.5000 0.5000 1
H1 H 0.5000 0.5000 0.0000 1
```

Values from the calculation:
- Relative energy among the computed polymorphs: 0 kJ/mol of formula units
- Symmetry: No. 123
- Total DFT energy (no corrections): -3.3309 eV per atom
- DOS(E_F): 0.270 states/eV/atom

---

# 5
Here is a relaxed structure of BiAs2HO from the Alexandria database. Energies are from PBE.

```
data_BiAs2HO
_chemical_formula_sum 'Bi1 As2 H1 O1'
_cell_length_a 5.5466
_cell_length_b 5.5466
_cell_length_c 3.6507
_cell_angle_alpha 90.00
_cell_angle_beta 90.00
_cell_angle_gamma 90.00
_space_group_name_H-M_alt 'P 1'
_space_group_IT_number 1
_space_group_name_Hall 'P 1'
loop_
_atom_site_label
_atom_site_type_symbol
_atom_site_fract_x
_atom_site_fract_y
_atom_site_fract_z
_atom_site_occupancy
Bi1 Bi 0.0000 0.0000 0.0000 1
As1 As 0.0000 0.5000 0.0000 1
As2 As 0.5000 0.0000 0.0000 1
H1 H 0.0000 0.0000 0.5000 1
O1 O 0.5000 0.5000 0.5000 1
```

Values from the calculation:
- Symmetry: No. 123
- Total DFT energy (no corrections): -3.1115 eV per atom
- DOS(E_F): 0.810 states/eV/atom

---

# 6
Here is a relaxed structure of Bi2AsHPd6 from the Alexandria database. Energies are from PBE.

```
data_Bi2AsHPd6
_chemical_formula_sum 'Bi2 As1 H1 Pd6'
_cell_length_a 5.7261
_cell_length_b 5.8215
_cell_length_c 6.7184
_cell_angle_alpha 65.55
_cell_angle_beta 64.95
_cell_angle_gamma 61.26
_space_group_name_H-M_alt 'P 1'
_space_group_IT_number 1
_space_group_name_Hall 'P 1'
loop_
_atom_site_label
_atom_site_type_symbol
_atom_site_fract_x
_atom_site_fract_y
_atom_site_fract_z
_atom_site_occupancy
Bi1 Bi 0.2225 0.2602 0.3088 1
Bi2 Bi 0.7775 0.7398 0.6912 1
As1 As 0.5000 0.5000 0.5000 1
H1 H 0.0000 0.0000 0.0000 1
Pd1 Pd 0.2266 0.6569 0.8614 1
Pd2 Pd 0.2520 0.8163 0.2036 1
Pd3 Pd 0.2529 0.1858 0.7684 1
Pd4 Pd 0.7471 0.8142 0.2316 1
Pd5 Pd 0.7480 0.1837 0.7964 1
Pd6 Pd 0.7734 0.3431 0.1386 1
```

Values from the calculation:
- Symmetry: No. 2
- Total DFT energy (no corrections): -4.9173 eV per atom
- DOS(E_F): 0.488 states/eV/atom

---

# 7
Here is a relaxed structure of Rb2BiAsH from the Alexandria database. Energies are from PBE.

```
data_Rb2BiAsH
_chemical_formula_sum 'Rb2 Bi1 As1 H1'
_cell_length_a 7.0792
_cell_length_b 7.0792
_cell_length_c 3.4633
_cell_angle_alpha 90.00
_cell_angle_beta 90.00
_cell_angle_gamma 90.00
_space_group_name_H-M_alt 'P 1'
_space_group_IT_number 1
_space_group_name_Hall 'P 1'
loop_
_atom_site_label
_atom_site_type_symbol
_atom_site_fract_x
_atom_site_fract_y
_atom_site_fract_z
_atom_site_occupancy
Rb1 Rb 0.0000 0.5000 0.0000 1
Rb2 Rb 0.5000 0.0000 0.0000 1
Bi1 Bi 0.0000 0.0000 0.5000 1
As1 As 0.5000 0.5000 0.0000 1
H1 H 0.5000 0.5000 0.5000 1
```

Values from the calculation:
- Symmetry: No. 123
- Total DFT energy (no corrections): -2.6560 eV per atom
- DOS(E_F): 0.982 states/eV/atom

---

# 8
Here is a relaxed structure of BiAsHSe2 from the Alexandria database. Energies are from PBE.

```
data_BiAsHSe2
_chemical_formula_sum 'Bi1 As1 H1 Se2'
_cell_length_a 5.5942
_cell_length_b 5.5942
_cell_length_c 5.6595
_cell_angle_alpha 90.00
_cell_angle_beta 90.00
_cell_angle_gamma 90.00
_space_group_name_H-M_alt 'P 1'
_space_group_IT_number 1
_space_group_name_Hall 'P 1'
loop_
_atom_site_label
_atom_site_type_symbol
_atom_site_fract_x
_atom_site_fract_y
_atom_site_fract_z
_atom_site_occupancy
Bi1 Bi 0.0000 0.0000 0.0000 1
As1 As 0.0000 0.0000 0.5000 1
H1 H 0.5000 0.5000 0.5000 1
Se1 Se 0.0000 0.5000 0.0000 1
Se2 Se 0.5000 0.0000 0.0000 1
```

Values from the calculation:
- Relative energy among the computed polymorphs: 372 kJ/mol of formula units
- Symmetry: No. 123
- Total DFT energy (no corrections): -2.6534 eV per atom
- DOS(E_F): 1.370 states/eV/atom

---

# 9
Here is a relaxed structure of BiAsHSe2 from the Alexandria database. Energies are from PBE.

```
data_BiAsHSe2
_chemical_formula_sum 'Bi1 As1 H1 Se2'
_cell_length_a 5.1609
_cell_length_b 5.1609
_cell_length_c 3.6022
_cell_angle_alpha 90.00
_cell_angle_beta 90.00
_cell_angle_gamma 90.00
_space_group_name_H-M_alt 'P 1'
_space_group_IT_number 1
_space_group_name_Hall 'P 1'
loop_
_atom_site_label
_atom_site_type_symbol
_atom_site_fract_x
_atom_site_fract_y
_atom_site_fract_z
_atom_site_occupancy
Bi1 Bi 0.0000 0.0000 0.0000 1
As1 As 0.5000 0.5000 0.0000 1
H1 H 0.5000 0.5000 0.5000 1
Se1 Se 0.0000 0.5000 0.5000 1
Se2 Se 0.5000 0.0000 0.5000 1
```

Values from the calculation:
- Relative energy among the computed polymorphs: 0 kJ/mol of formula units
- Symmetry: No. 123
- Total DFT energy (no corrections): -3.4248 eV per atom
- DOS(E_F): 0.530 states/eV/atom

---

# 10
Here is a relaxed structure of SnBi2AsH from the Alexandria database. Energies are from PBE.

```
data_SnBi2AsH
_chemical_formula_sum 'Sn1 Bi2 As1 H1'
_cell_length_a 6.0079
_cell_length_b 6.0079
_cell_length_c 3.4416
_cell_angle_alpha 90.00
_cell_angle_beta 90.00
_cell_angle_gamma 90.00
_space_group_name_H-M_alt 'P 1'
_space_group_IT_number 1
_space_group_name_Hall 'P 1'
loop_
_atom_site_label
_atom_site_type_symbol
_atom_site_fract_x
_atom_site_fract_y
_atom_site_fract_z
_atom_site_occupancy
Sn1 Sn 0.0000 0.0000 0.0000 1
Bi1 Bi 0.0000 0.5000 0.5000 1
Bi2 Bi 0.5000 0.0000 0.5000 1
As1 As 0.5000 0.5000 0.5000 1
H1 H 0.5000 0.5000 0.0000 1
```

Values from the calculation:
- Symmetry: No. 123
- Total DFT energy (no corrections): -3.7790 eV per atom
- DOS(E_F): 0.406 states/eV/atom

---

# 11
Here is a relaxed structure of Sn2BiAsH from the Alexandria database. Energies are from PBE.

```
data_Sn2BiAsH
_chemical_formula_sum 'Sn2 Bi1 As1 H1'
_cell_length_a 5.8989
_cell_length_b 5.8989
_cell_length_c 3.4301
_cell_angle_alpha 90.00
_cell_angle_beta 90.00
_cell_angle_gamma 90.00
_space_group_name_H-M_alt 'P 1'
_space_group_IT_number 1
_space_group_name_Hall 'P 1'
loop_
_atom_site_label
_atom_site_type_symbol
_atom_site_fract_x
_atom_site_fract_y
_atom_site_fract_z
_atom_site_occupancy
Sn1 Sn 0.0000 0.5000 0.0000 1
Sn2 Sn 0.5000 0.0000 0.0000 1
Bi1 Bi 0.0000 0.0000 0.5000 1
As1 As 0.5000 0.5000 0.0000 1
H1 H 0.5000 0.5000 0.5000 1
```

Values from the calculation:
- Symmetry: No. 123
- Total DFT energy (no corrections): -3.8098 eV per atom
- DOS(E_F): 0.679 states/eV/atom

---

# 12
Here is a relaxed structure of TlBi2AsH from the Alexandria database. Energies are from PBE.

```
data_TlBi2AsH
_chemical_formula_sum 'Tl1 Bi2 As1 H1'
_cell_length_a 5.9411
_cell_length_b 5.9411
_cell_length_c 3.5609
_cell_angle_alpha 90.00
_cell_angle_beta 90.00
_cell_angle_gamma 90.00
_space_group_name_H-M_alt 'P 1'
_space_group_IT_number 1
_space_group_name_Hall 'P 1'
loop_
_atom_site_label
_atom_site_type_symbol
_atom_site_fract_x
_atom_site_fract_y
_atom_site_fract_z
_atom_site_occupancy
Tl1 Tl 0.0000 0.0000 0.0000 1
Bi1 Bi 0.0000 0.5000 0.5000 1
Bi2 Bi 0.5000 0.0000 0.5000 1
As1 As 0.5000 0.5000 0.5000 1
H1 H 0.5000 0.5000 0.0000 1
```

Values from the calculation:
- Symmetry: No. 123
- Total DFT energy (no corrections): -3.4580 eV per atom
- DOS(E_F): 0.473 states/eV/atom

---

# 13
Here is a relaxed structure of U2BiAsH2 from the Alexandria database. Energies are from PBE.

```
data_U2BiAsH2
_chemical_formula_sum 'U2 Bi1 As1 H2'
_cell_length_a 3.9104
_cell_length_b 3.9104
_cell_length_c 8.1688
_cell_angle_alpha 90.00
_cell_angle_beta 90.00
_cell_angle_gamma 120.00
_space_group_name_H-M_alt 'P 1'
_space_group_IT_number 1
_space_group_name_Hall 'P 1'
loop_
_atom_site_label
_atom_site_type_symbol
_atom_site_fract_x
_atom_site_fract_y
_atom_site_fract_z
_atom_site_occupancy
U1 U 0.3333 0.6667 0.2239 1
U2 U 0.6667 0.3333 0.7761 1
Bi1 Bi 0.0000 0.0000 0.5000 1
As1 As 0.0000 0.0000 0.0000 1
H1 H 0.3333 0.6667 0.7608 1
H2 H 0.6667 0.3333 0.2392 1
```

Values from the calculation:
- Symmetry: No. 164
- Total DFT energy (no corrections): -6.6930 eV per atom
- DOS(E_F): 1.278 states/eV/atom

---

# 14
Here is a relaxed structure of Zr2BiAsH from the Alexandria database. Energies are from PBE.

```
data_Zr2BiAsH
_chemical_formula_sum 'Zr2 Bi1 As1 H1'
_cell_length_a 5.5765
_cell_length_b 5.5765
_cell_length_c 3.7060
_cell_angle_alpha 90.00
_cell_angle_beta 90.00
_cell_angle_gamma 90.00
_space_group_name_H-M_alt 'P 1'
_space_group_IT_number 1
_space_group_name_Hall 'P 1'
loop_
_atom_site_label
_atom_site_type_symbol
_atom_site_fract_x
_atom_site_fract_y
_atom_site_fract_z
_atom_site_occupancy
Zr1 Zr 0.0000 0.5000 0.0000 1
Zr2 Zr 0.5000 0.0000 0.0000 1
Bi1 Bi 0.0000 0.0000 0.0000 1
As1 As 0.5000 0.5000 0.5000 1
H1 H 0.0000 0.0000 0.5000 1
```

Values from the calculation:
- Symmetry: No. 123
- Total DFT energy (no corrections): -5.1909 eV per atom
- DOS(E_F): 0.960 states/eV/atom

---

Values of magnetization, in order: 0.00, 0.00, 0.00, 0.00, 0.00, 0.00, 0.00, 2.10, 0.00, 0.00, 0.00, 0.00, 4.00, 1.38, all in μB per formula unit.